Model 1:
ZnCdPCl2: relaxed, PBE-GGA.

SG: P4/mmm (123)
Magnetization: 1.00 μB/f.u.

Cell lengths 4.787, 4.787, 5.092 Å; angles 90.00, 90.00, 90.00 degrees
Fractional positions:
1 Cd 0.500 0.500 0.500
2 P 0.000 0.000 0.500
3 Zn 0.000 0.000 0.000
4 Cl 0.000 0.500 0.000
5 Cl 0.500 0.000 0.000

***

Model 2:
ZnCdPCl2: relaxed, PBE-GGA.

SG: P4/mmm (123)
Magnetization: 1.47 μB/f.u.

Cell lengths 5.159, 5.159, 5.325 Å; angles 90.00, 90.00, 90.00 degrees
Fractional positions:
1 Cl 0.500 0.000 0.000
2 Cl 0.000 0.500 0.000
3 Zn 0.500 0.500 0.500
4 Cd 0.000 0.000 0.000
5 P 0.000 0.000 0.500

***

Which structure loses on stability? model 2 does.

***

Model 1:
Cd2PbCl: relaxed, PBE-GGA.

SG: Cmm2 (35)
Magnetization: 0.00 μB/f.u.

Cell lengths 3.462, 3.462, 9.490 Å; angles 90.00, 90.00, 113.26 degrees
Fractional positions:
1 Cl 0.000 0.000 0.466
2 Cd 0.500 0.500 0.261
3 Cd 0.000 0.000 0.025
4 Pb 0.500 0.500 0.748

***

Model 2:
Cd2PbCl: relaxed, PBE-GGA.

SG: F-43m (216)
Magnetization: 0.43 μB/f.u.

Cell lengths 5.316, 5.316, 5.316 Å; angles 60.00, 60.00, 60.00 degrees
Fractional positions:
1 Cl 0.500 0.500 0.500
2 Pb 0.250 0.250 0.250
3 Cd 0.750 0.750 0.750
4 Cd 0.000 0.000 0.000

***

Model 3:
Cd2PbCl: relaxed, PBE-GGA.

SG: P2/m (10)
Magnetization: 0.00 μB/f.u.

Cell lengths 6.220, 3.402, 5.054 Å; angles 86.42, 90.00, 90.00 degrees
Fractional positions:
1 Cl 0.500 0.250 0.250
2 Pb 0.500 0.750 0.750
3 Cd 0.000 0.498 0.500
4 Cd 0.000 0.002 0.000

***

Which structure loses on stability? model 2 does.

***

Model 1:
Cd2PbCl: relaxed, PBE-GGA.

SG: P4/mmm (123)
Magnetization: 0.00 μB/f.u.

Cell lengths 3.593, 5.372, 5.372 Å; angles 90.00, 90.00, 90.00 degrees
Fractional positions:
1 Cl 0.500 0.500 0.000
2 Pb 0.500 0.000 0.500
3 Cd 0.000 0.500 0.500
4 Cd 0.000 0.000 0.000

***

Model 2:
Cd2PbCl: relaxed, PBE-GGA.

SG: C2/m (12)
Magnetization: 0.00 μB/f.u.

Cell lengths 6.570, 6.570, 3.627 Å; angles 76.26, 76.26, 126.38 degrees
Fractional positions:
1 Cd 0.000 0.000 0.000
2 Cd 0.500 0.500 0.000
3 Pb 0.000 0.500 0.500
4 Cl 0.500 0.000 0.500

***

Which structure loses on stability? model 1 does.

***

Model 1:
Cd2PbCl: relaxed, PBE-GGA.

SG: R-3m (166)
Magnetization: 0.00 μB/f.u.

Cell lengths 8.700, 8.700, 8.700 Å; angles 26.09, 26.09, 26.09 degrees
Fractional positions:
1 Pb 0.750 0.750 0.750
2 Cd 0.504 0.504 0.504
3 Cd 0.996 0.996 0.996
4 Cl 0.250 0.250 0.250

***

Model 2:
Cd2PbCl: relaxed, PBE-GGA.

SG: Cm (8)
Magnetization: 0.00 μB/f.u.

Cell lengths 6.040, 6.040, 5.789 Å; angles 62.46, 62.46, 34.52 degrees
Fractional positions:
1 Cd 0.755 0.755 0.746
2 Pb 0.253 0.253 0.250
3 Cl 0.475 0.475 0.524
4 Cd 0.018 0.018 0.980

***

Model 3:
Cd2PbCl: relaxed, PBE-GGA.

SG: I-42d (122)
Magnetization: 0.00 μB/f.u.

Cell lengths 6.785, 6.785, 7.963 Å; angles 64.78, 64.78, 90.00 degrees
Fractional positions:
1 Pb 0.000 0.000 0.000
2 Cd 0.616 0.125 0.250
3 Pb 0.750 0.250 0.500
4 Cd 0.134 0.625 0.250
5 Cd 0.875 0.866 0.750
6 Cl 0.500 0.500 0.000
7 Cd 0.375 0.384 0.750
8 Cl 0.250 0.750 0.500

***

Model 4:
Cd2PbCl: relaxed, PBE-GGA.

SG: I-4m2 (119)
Magnetization: 0.00 μB/f.u.

Cell lengths 5.814, 5.814, 5.814 Å; angles 132.11, 132.11, 70.06 degrees
Fractional positions:
1 Cl 0.500 0.500 0.000
2 Cd 0.250 0.750 0.500
3 Cd 0.000 0.000 0.000
4 Pb 0.750 0.250 0.500

***

Which structure loses on stability? model 3 does.

***

Model 1:
Cd2PbCl: relaxed, PBE-GGA.

SG: P4mm (99)
Magnetization: 0.00 μB/f.u.

Cell lengths 3.390, 3.390, 8.774 Å; angles 90.00, 90.00, 90.00 degrees
Fractional positions:
1 Cd 0.500 0.500 0.254
2 Pb 0.500 0.500 0.753
3 Cl 0.000 0.000 0.466
4 Cd 0.000 0.000 0.028

***

Model 2:
Cd2PbCl: relaxed, PBE-GGA.

SG: Pmmm (47)
Magnetization: 0.00 μB/f.u.

Cell lengths 3.465, 5.504, 5.766 Å; angles 90.00, 90.00, 90.00 degrees
Fractional positions:
1 Pb 0.500 0.500 0.750
2 Cl 0.500 0.500 0.250
3 Cd 0.000 0.000 0.006
4 Cd 0.000 0.000 0.494

***

Which structure loses on stability? model 2 does.

***

Model 1:
Cd2PbCl: relaxed, PBE-GGA.

SG: Cmmm (65)
Magnetization: 0.00 μB/f.u.

Cell lengths 3.611, 3.611, 8.844 Å; angles 90.00, 90.00, 110.02 degrees
Fractional positions:
1 Cd 0.000 0.000 0.483
2 Cd 0.000 0.000 0.017
3 Pb 0.500 0.500 0.750
4 Cl 0.500 0.500 0.250

***

Model 2:
Cd2PbCl: relaxed, PBE-GGA.

SG: I4/mmm (139)
Magnetization: 0.00 μB/f.u.

Cell lengths 6.537, 6.537, 6.537 Å; angles 141.10, 141.10, 56.18 degrees
Fractional positions:
1 Pb 0.750 0.250 0.500
2 Cd 0.500 0.500 0.000
3 Cl 0.250 0.750 0.500
4 Cd 0.000 0.000 0.000

***

Model 3:
Cd2PbCl: relaxed, PBE-GGA.

SG: Pmm2 (25)
Magnetization: 0.00 μB/f.u.

Cell lengths 3.647, 4.993, 5.942 Å; angles 90.00, 90.00, 90.00 degrees
Fractional positions:
1 Cl 0.000 0.000 0.379
2 Pb 0.500 0.500 0.856
3 Cd 0.000 0.000 0.907
4 Cd 0.500 0.500 0.358

***

Which structure loses on stability? model 2 does.